Entry 1:
PrRe2HgO8 | GGA-PBE | optimized geometry

Cell lengths 6.941, 6.941, 6.961 Å; angles 60.10, 60.10, 60.00 degrees
Sites, in units of the cell vectors:
O  0.354  0.354  0.353
O  0.646  0.062  0.647
O  0.354  0.938  0.353
O  0.646  0.646  0.062
O  0.646  0.646  0.647
O  0.938  0.354  0.353
O  0.062  0.646  0.647
O  0.354  0.354  0.938
Re  0.750  0.750  0.751
Re  0.250  0.250  0.249
Pr  0.500  0.500  0.500
Hg  0.000  0.000  0.000

**SG**: R-3m (166)
**Crystal system**: trigonal
**M_tot**: 0.00 Bohr magnetons per cell
**Calculated total energy**: -7.662 eV/atom



Entry 2:
AlCu2P | GGA-PBE | optimized geometry

Cell lengths 4.012, 2.858, 4.936 Å; angles 100.62, 90.00, 90.00 degrees
Sites, in units of the cell vectors:
Al  0.500  0.750  0.750
Cu  0.000  0.320  0.516
Cu  0.000  0.180  0.984
P  0.500  0.250  0.250

**SG**: P2/m (10)
**Crystal system**: monoclinic
**M_tot**: 0.00 Bohr magnetons per cell
**Calculated formation energy**: 0.020 eV/atom
**Energy relative to the lowest polymorph listed for this composition**: 0.050 eV/atom